1.
Crystalline RbCd3In at its relaxed geometry, computed with PBE.

abc: 6.526 7.541 7.540
angles: 120.02 90.00 90.00
Element x y z (fractional)
Rb1 0.750 0.667 0.334
Rb2 0.250 0.333 0.666
Cd1 0.250 0.399 0.199
Cd2 0.250 0.801 0.199
Cd3 0.750 0.199 0.399
Cd4 0.250 0.801 0.601
Cd5 0.750 0.601 0.801
Cd6 0.750 0.199 0.801
In1 0.500 0.000 0.000
In2 0.000 0.000 0.000

Calculated values
**E**: -1.271 eV per atom
**DOS at the Fermi energy**: 0.713 states/eV/atom
**V**: 321.30 Å³/cell
**Polymorph energy (0 for the lowest one)**: 0.039 eV/atom

---

2.
Crystalline Rb5Cd12In2 at its relaxed geometry, computed with PBE.

abc: 8.272 8.093 10.349
angles: 66.98 88.99 90.00
Element x y z (fractional)
In1 0.000 0.315 0.000
In2 0.000 0.685 0.000
Cd1 0.685 0.221 0.194
Cd2 0.357 0.443 0.114
Cd3 0.643 0.557 0.886
Cd4 0.224 0.695 0.238
Cd5 0.685 0.586 0.194
Cd6 0.776 0.305 0.762
Cd7 0.895 0.912 0.176
Cd8 0.224 0.067 0.238
Cd9 0.776 0.933 0.762
Cd10 0.315 0.779 0.806
Cd11 0.105 0.088 0.824
Cd12 0.315 0.414 0.806
Rb1 0.020 0.715 0.571
Rb2 0.451 0.240 0.520
Rb3 0.500 0.000 0.000
Rb4 0.549 0.760 0.480
Rb5 0.980 0.285 0.429

Calculated values
**E**: -1.132 eV per atom
**DOS at the Fermi energy**: 0.432 states/eV/atom
**V**: 637.51 Å³/cell

---

3.
Crystalline RbCdIn6 at its relaxed geometry, computed with PBE.

abc: 5.238 5.238 9.075
angles: 90.00 90.00 90.00
Element x y z (fractional)
In1 0.500 0.000 0.672
In2 0.000 0.500 0.672
In3 0.500 0.500 0.839
In4 0.000 0.500 0.328
In5 0.500 0.500 0.161
In6 0.500 0.000 0.328
Rb1 0.000 0.000 0.000
Cd1 0.000 0.000 0.500

Calculated values
**E**: -2.359 eV per atom
**DOS at the Fermi energy**: 0.318 states/eV/atom
**V**: 248.96 Å³/cell
**Polymorph energy (0 for the lowest one)**: 0.000 eV/atom

---

4.
Crystalline RbCd2In3 at its relaxed geometry, computed with PBE.

abc: 4.738 9.506 10.609
angles: 56.27 77.10 75.57
Element x y z (fractional)
In1 0.410 0.511 0.669
In2 0.590 0.489 0.331
In3 0.679 0.077 0.566
In4 0.964 0.700 0.373
In5 0.036 0.300 0.627
In6 0.321 0.923 0.434
Cd1 0.479 0.882 0.159
Cd2 0.809 0.705 0.676
Cd3 0.521 0.118 0.841
Cd4 0.191 0.295 0.324
Rb1 0.154 0.753 0.940
Rb2 0.846 0.247 0.060

Calculated values
**E**: -1.892 eV per atom
**DOS at the Fermi energy**: 0.364 states/eV/atom
**V**: 382.67 Å³/cell

---

5.
Crystalline RbCd7In12 at its relaxed geometry, computed with PBE.

abc: 9.488 9.488 9.488
angles: 109.47 109.47 109.47
Element x y z (fractional)
In1 0.610 0.356 0.254
In2 0.254 0.898 0.644
In3 0.254 0.610 0.356
In4 0.644 0.746 0.390
In5 0.746 0.102 0.356
In6 0.898 0.644 0.254
In7 0.356 0.746 0.102
In8 0.102 0.356 0.746
In9 0.356 0.254 0.610
In10 0.390 0.644 0.746
In11 0.644 0.254 0.898
In12 0.746 0.390 0.644
Cd1 0.000 0.000 0.500
Cd2 0.500 0.500 0.500
Cd3 0.500 0.500 0.000
Cd4 0.500 0.000 0.000
Cd5 0.000 0.500 0.500
Cd6 0.000 0.500 0.000
Cd7 0.500 0.000 0.500
Rb1 0.000 0.000 0.000

Calculated values
**E**: -1.932 eV per atom
**DOS at the Fermi energy**: 0.492 states/eV/atom
**V**: 657.47 Å³/cell

---

6.
Crystalline RbCdIn2 at its relaxed geometry, computed with PBE.

abc: 3.781 3.781 8.936
angles: 90.00 90.00 90.00
Element x y z (fractional)
In1 0.000 0.000 0.189
In2 0.000 0.000 0.811
Cd1 0.500 0.500 0.000
Rb1 0.500 0.500 0.500

Calculated values
**E**: -1.875 eV per atom
**DOS at the Fermi energy**: 0.425 states/eV/atom
**V**: 127.72 Å³/cell

---

7.
Crystalline RbCdIn2 at its relaxed geometry, computed with PBE.

abc: 5.555 5.555 11.329
angles: 75.81 75.81 90.00
Element x y z (fractional)
Cd1 0.000 0.000 0.000
Cd2 0.750 0.250 0.500
In1 0.960 0.625 0.250
In2 0.875 0.040 0.750
In3 0.375 0.210 0.750
In4 0.790 0.125 0.250
Rb1 0.500 0.500 0.000
Rb2 0.250 0.750 0.500

Calculated values
**E**: -1.756 eV per atom
**DOS at the Fermi energy**: 0.502 states/eV/atom
**V**: 327.92 Å³/cell

---

8.
Crystalline RbCd11In at its relaxed geometry, computed with PBE.

abc: 6.095 7.978 7.922
angles: 81.40 67.38 67.13
Element x y z (fractional)
In1 0.500 0.500 0.000
Cd1 0.724 0.781 0.779
Cd2 0.500 0.000 0.500
Cd3 0.000 0.000 0.500
Cd4 0.502 0.781 0.221
Cd5 0.498 0.219 0.779
Cd6 0.648 0.356 0.358
Cd7 0.995 0.644 0.358
Cd8 0.005 0.356 0.642
Cd9 0.000 0.500 0.000
Cd10 0.276 0.219 0.221
Cd11 0.352 0.644 0.642
Rb1 0.000 0.000 0.000

Calculated values
**E**: -1.076 eV per atom
**DOS at the Fermi energy**: 0.355 states/eV/atom
**V**: 327.60 Å³/cell

---

no.,energy of formation from the pure elements (meV/atom)
1,20
2,-11
3,-70
4,-57
5,80
6,-35
7,83
8,-17